MgTl2OsF | Alexandria | PBE-GGA | relaxed; ΔE_f (raw) = 0.033 eV/atom; symmetry = No. 123
1.0
5.2342 0.0000 0.0000
0.0000 5.0406 0.0000
0.0000 0.0000 5.2342
Tl Os Mg F
2 1 1 1
Direct
0.0000 0.0000 0.5000 Tl
0.5000 0.0000 0.0000 Tl
0.0000 0.0000 0.0000 Os
0.0000 0.5000 0.0000 Mg
0.5000 0.5000 0.5000 F